Record 1
First-principles (SCAN) data for NaAg2Te2 at its PBEsol-relaxed geometry, as listed in Alexandria.

The structure in POSCAR format:
```
NaAg2Te2
1.0
-2.049 2.049 7.638
2.049 -2.049 7.638
2.049 2.049 -7.638
Na Ag Te
1 2 2
direct
0.000 0.000 0.000
0.250 0.750 0.500
0.750 0.250 0.500
0.377 0.377 0.000
0.623 0.623 0.000
```

Properties
space group: No. 139
V: 25.7 Å³/atom
DOS at the Fermi energy: 2.21 states/eV/f.u.
uncorrected formation energy: -0.34 eV per atom

=====

Record 2
First-principles (SCAN) data for Tl3FeIr at its PBEsol-relaxed geometry, as listed in Alexandria.

The structure in POSCAR format:
```
Tl3FeIr
1.0
4.899 0.000 0.000
0.000 4.899 0.000
0.000 0.000 4.899
Tl Fe Ir
3 1 1
direct
0.000 0.000 0.500
0.000 0.500 0.000
0.500 0.000 0.000
0.000 0.000 0.000
0.500 0.500 0.500
```

Properties
space group: No. 221
electronic total energy: -60.09 eV/atom
V: 23.5 Å³/atom
DOS at the Fermi energy: 4.42 states/eV/f.u.

=====

Record 3
First-principles (SCAN) data for CuReSe2 at its PBEsol-relaxed geometry, as listed in Alexandria.

The structure in POSCAR format:
```
CuReSe2
1.0
1.545 0.892 8.093
-1.545 0.892 8.093
0.000 -1.784 8.093
Cu Re Se
1 1 2
direct
0.000 0.000 0.000
0.500 0.500 0.500
0.403 0.403 0.403
0.597 0.597 0.597
```

Properties
space group: No. 166
V: 16.7 Å³/atom
DOS at the Fermi energy: 2.49 states/eV/f.u.
ΔE to the lowest computed polymorph: 434.1 meV/atom
uncorrected formation energy: 0.65 eV per atom

=====

Record 4
First-principles (SCAN) data for Sc2MnW at its PBEsol-relaxed geometry, as listed in Alexandria.

The structure in POSCAR format:
```
Sc2MnW
1.0
1.461 0.844 9.287
-1.461 0.844 9.287
0.000 -1.687 9.287
Sc Mn W
2 1 1
direct
0.246 0.246 0.246
0.754 0.754 0.754
0.500 0.500 0.500
0.000 0.000 0.000
```

Properties
space group: No. 166
V: 17.2 Å³/atom
DOS at the Fermi energy: 4.57 states/eV/f.u.
ΔE to the lowest computed polymorph: 274.7 meV/atom

=====

Record 5
First-principles (SCAN) data for MnZn2Ir at its PBEsol-relaxed geometry, as listed in Alexandria.

The structure in POSCAR format:
```
MnZn2Ir
1.0
4.292 0.000 0.000
0.000 2.932 0.000
-0.775 0.000 4.247
Mn Zn Ir
1 2 1
direct
0.000 0.000 0.000
0.500 0.000 0.500
0.500 0.500 0.000
0.000 0.500 0.500
```

Properties
space group: No. 10
electronic total energy: -29.38 eV/atom
V: 13.4 Å³/atom
DOS at the Fermi energy: 2.04 states/eV/f.u.

=====

Record 6
First-principles (SCAN) data for LiFeSi4O10 at its PBEsol-relaxed geometry, as listed in Alexandria.

The structure in POSCAR format:
```
LiFeSi4O10
1.0
7.785 0.000 0.000
0.000 5.218 0.000
-4.677 0.000 11.096
Li Fe Si O
2 2 8 20
direct
0.000 0.247 0.250
0.000 0.753 0.750
0.000 0.252 0.750
0.000 0.748 0.250
0.293 0.021 0.499
0.293 0.480 0.147
0.293 0.520 0.647
0.293 0.979 0.999
0.707 0.021 0.001
0.707 0.480 0.353
0.707 0.520 0.853
0.707 0.979 0.501
0.138 0.014 0.864
0.138 0.491 0.706
0.138 0.509 0.206
0.138 0.986 0.364
0.262 0.305 0.544
0.262 0.695 0.044
0.268 0.195 0.089
0.268 0.805 0.589
0.500 0.000 0.000
0.500 0.000 0.500
0.500 0.486 0.750
0.500 0.514 0.250
0.732 0.195 0.411
0.732 0.805 0.911
0.738 0.305 0.956
0.738 0.695 0.456
0.862 0.014 0.636
0.862 0.491 0.794
0.862 0.509 0.294
0.862 0.986 0.136
```

Properties
space group: No. 13
V: 14.1 Å³/atom
DOS at the Fermi energy: 0.00 states/eV/f.u.
ΔE to the lowest computed polymorph: 0.0 meV/atom
uncorrected formation energy: -2.76 eV per atom

=====

Record 7
First-principles (SCAN) data for SmGe3 at its PBEsol-relaxed geometry, as listed in Alexandria.

The structure in POSCAR format:
```
SmGe3
1.0
6.096 0.000 0.000
-3.048 5.279 0.000
0.000 0.000 4.986
Sm Ge
2 6
direct
0.333 0.667 0.250
0.667 0.333 0.750
0.148 0.296 0.750
0.148 0.852 0.750
0.296 0.148 0.250
0.704 0.852 0.750
0.852 0.148 0.250
0.852 0.704 0.250
```

Properties
space group: No. 194
electronic total energy: -25.85 eV/atom
V: 20.1 Å³/atom
DOS at the Fermi energy: 1.64 states/eV/f.u.

=====

Record 8
First-principles (SCAN) data for Ba2SbAu at its PBEsol-relaxed geometry, as listed in Alexandria.

The structure in POSCAR format:
```
Ba2SbAu
1.0
5.713 0.000 0.000
0.000 5.713 0.000
0.000 0.000 4.151
Ba Sb Au
2 1 1
direct
0.000 0.500 0.000
0.500 0.000 0.000
0.000 0.000 0.500
0.500 0.500 0.500
```

Properties
space group: No. 123
V: 33.9 Å³/atom
DOS at the Fermi energy: 1.30 states/eV/f.u.
uncorrected formation energy: -0.97 eV per atom

=====

What did we get for size of the total moment? Answer: 0.00, 4.00, 0.00, 2.86, 3.55, 10.00, 0.00, 0.00 μB/cell, in the order shown.